Here is a relaxed structure of Mg16Al12Sn from Alexandria via LeMat-Bulk. Energies are from PBE-GGA.

```
data_Mg16Al12Sn
_chemical_formula_sum 'Mg32 Al24 Sn2'
_cell_length_a 10.5525
_cell_length_b 10.5525
_cell_length_c 10.5525
_cell_angle_alpha 90.00
_cell_angle_beta 90.00
_cell_angle_gamma 90.00
_symmetry_space_group_name_H-M 'I -4 3 m'
_symmetry_Int_Tables_number 217
_symmetry_space_group_name_Hall 'I -4 2 3'
loop_
_atom_site_label
_atom_site_fract_x
_atom_site_fract_y
_atom_site_fract_z
_atom_site_occupancy
Mg1 0.0429 0.3583 0.3583 1
Mg2 0.1734 0.1734 0.8266 1
Al1 0.0921 0.0921 0.2798 1
Sn1 0.0000 0.0000 0.0000 1
```

For the total energy, the calculation gives -2.578 eV/atom. The excess energy over the best structure of this formula in the dataset is 0.0170 eV/atom. Its density of states at the Fermi level is 21.776 states/eV/cell.